<A>
MnGaGeSe2 after structural relaxation, computed with PBE.

Results
Spin magnetization (μB per formula unit): 4.0

Cell: 3.7878 5.9508 6.9989 Å, 131.29 91.61 99.52°
Closest atoms and distances in Å follow each position.
Positions (direct):
Mn (0.9564, 0.5760, 0.1726)  2 Ge 2.52-2.57, 3 Se 2.55-2.64
Se (0.1164, 0.6660, 0.8598)  2 Ga 2.53-2.56, 1 Ge 2.59, 1 Mn 2.64
Se (0.5598, 0.9176, 0.4907)  1 Ga 2.50, 2 Mn 2.55-2.56
Ge (0.3609, 0.2505, 0.1235)  1 Ga 2.50, 2 Mn 2.52-2.57, 1 Se 2.59
Ga (0.5265, 0.3652, 0.5330)  1 Ge 2.50, 3 Se 2.50-2.56

<B>
MnGaGeSe2 after structural relaxation, computed with PBE.

Results
Spin magnetization (μB per formula unit): 2.8

Cell: 3.4045 5.6684 6.8863 Å, 57.15 104.59 107.63°
Closest atoms and distances in Å follow each position.
Positions (direct):
Ga (0.2955, 0.2265, 0.1944)  1 Se 2.54, 1 Mn 2.58, 2 Ge 2.73-2.74
Ge (0.6629, 0.3165, 0.8424)  1 Se 2.62, 2 Ga 2.73-2.74, 2 Mn 2.74-2.77
Se (0.8499, 0.8778, 0.6437)  2 Mn 2.47, 1 Ge 2.62
Se (0.5363, 0.6719, 0.2308)  2 Mn 2.46, 1 Ga 2.54
Mn (0.1754, 0.6827, 0.4929)  4 Se 2.46-2.47, 1 Ga 2.58, 1 Ge 2.74

<A> has the most favorable energy; the next structure is 0.047 eV/atom above.

<A>
LiBe3 after structural relaxation, computed with PBE.

Results
Spin magnetization (μB per formula unit): 0.0

Cell: 2.2270 2.2270 7.7963 Å, 90.00 90.00 110.75°
Closest atoms and distances in Å follow each position.
Positions (direct):
Be (0.0000, 0.0000, 0.9816)  6 Be 2.21-2.23, 2 Li 2.45
Be (0.0000, 0.0000, 0.5184)  6 Be 2.21-2.23, 2 Li 2.45
Be (0.5000, 0.5000, 0.7500)  8 Be 2.21-2.23
Li (0.5000, 0.5000, 0.2500)  4 Li 2.23, 4 Be 2.45

<B>
LiBe3 after structural relaxation, computed with PBE.

Results
Spin magnetization (μB per formula unit): 0.0

Cell: 4.3013 3.6203 9.9435 Å, 90.00 90.00 90.00°
Closest atoms and distances in Å follow each position.
Positions (direct):
Li (0.0000, 0.2500, 0.4155)  5 Be 2.34-2.56, 2 Li 2.47
Li (0.5000, 0.2500, 0.0845)  5 Be 2.34-2.56, 2 Li 2.47
Li (0.5000, 0.7500, 0.9155)  5 Be 2.34-2.56, 2 Li 2.47
Li (0.0000, 0.7500, 0.5845)  5 Be 2.34-2.56, 2 Li 2.47
Be (0.0000, 0.7500, 0.8221)  7 Be 2.18-2.32, 3 Li 2.34-2.36
Be (0.5000, 0.2500, 0.3221)  7 Be 2.18-2.32, 3 Li 2.34-2.36
Be (0.0000, 0.2500, 0.9446)  7 Be 2.12-2.32
Be (0.2500, 0.2500, 0.7500)  8 Be 2.15-2.22
Be (0.7500, 0.2500, 0.7500)  8 Be 2.15-2.22
Be (0.5000, 0.2500, 0.5554)  7 Be 2.12-2.32
Be (0.5000, 0.7500, 0.4446)  7 Be 2.12-2.32
Be (0.2500, 0.7500, 0.2500)  8 Be 2.15-2.22
Be (0.0000, 0.2500, 0.1779)  7 Be 2.18-2.32, 3 Li 2.34-2.36
Be (0.7500, 0.7500, 0.2500)  8 Be 2.15-2.22
Be (0.0000, 0.7500, 0.0554)  7 Be 2.12-2.32
Be (0.5000, 0.7500, 0.6779)  7 Be 2.18-2.32, 3 Li 2.34-2.36

<B> has the most favorable energy; the next structure is 0.110 eV/atom above.